An optimized crystal structure of SrInAgSn. Source: the Alexandria database, functional PBE.

Results
Density of states at the Fermi level   0.43 states/eV/atom
Uncorrected energy   -48.98 eV for the cell shown

a = 7.543 Å, b = 7.543 Å, c = 7.543 Å
α = 90.00°, β = 90.00°, γ = 90.00°
Space group F-43m (No. 216)
Inequivalent atoms, fractional coordinates:
Sr  0.000  0.000  0.000 x4
In  0.250  0.250  0.250 x4
Ag  0.250  0.250  0.750 x4
Sn  0.000  0.000  0.500 x4

---

An optimized crystal structure of Ac3La3Tl2In. Source: the Alexandria database, functional PBE.

Results
Density of states at the Fermi level   1.09 states/eV/atom
Uncorrected energy   -36.92 eV for the cell shown

a = 9.6152 Å, b = 9.6152 Å, c = 4.0264 Å
α = 90.00°, β = 90.00°, γ = 120.00°
Space group P-62m (No. 189)
Inequivalent atoms, fractional coordinates:
Ac  0.0000  0.7153  0.0000 x3
La  0.0000  0.3880  0.5000 x3
Tl  0.3333  0.6667  0.0000 x2
In  0.0000  0.0000  0.5000 x1

---

An optimized crystal structure of Th6Re2Sn. Source: the Alexandria database, functional PBE.

Results
Density of states at the Fermi level   1.35 states/eV/atom
Uncorrected energy   -298.13 eV for the cell shown

a = 9.491 Å, b = 9.522 Å, c = 11.256 Å
α = 90.00°, β = 90.00°, γ = 90.00°
Space group Immm (No. 71)
Inequivalent atoms, fractional coordinates:
Th  0.000  0.192  0.164 x8
Th  0.185  0.204  0.500 x8
Th  0.203  0.500  0.258 x8
Re  0.000  0.000  0.365 x4
Re  0.169  0.000  0.000 x4
Sn  0.000  0.500  0.000 x2
Sn  0.000  0.500  0.500 x2

---

| no. | formation energy (eV per atom) |
| --- | --- |
| 1 | -0.243 |
| 2 | -0.260 |
| 3 | -0.124 |